The following is a PBE calculation of ZnIrRh2 after structural relaxation, from Alexandria via LeMat-Bulk.

Cell lengths 2.720, 2.720, 9.008 Å; angles 90.00, 90.00, 119.77 degrees
Fractional positions:
Zn 0.000 0.000 0.000
Ir 0.000 0.000 0.500
Rh 0.500 0.500 0.244
Rh 0.500 0.500 0.756

Values from the calculation:
As for the symmetry: Cmmm, No. 65.

The following is a PBE calculation of Zn4IrRh5 after structural relaxation, from Alexandria via LeMat-Bulk.

Cell lengths 2.917, 2.917, 16.341 Å; angles 90.00, 90.00, 90.00 degrees
Fractional positions:
Zn 0.000 0.000 0.097
Zn 0.000 0.000 0.290
Zn 0.000 0.000 0.710
Zn 0.000 0.000 0.903
Ir 0.000 0.000 0.500
Rh 0.500 0.500 0.000
Rh 0.500 0.500 0.194
Rh 0.500 0.500 0.392
Rh 0.500 0.500 0.608
Rh 0.500 0.500 0.806

Values from the calculation:
As for the symmetry: P4/mmm, No. 123.

The following is a PBE calculation of ZrZnIr2Rh after structural relaxation, from Alexandria via LeMat-Bulk.

Cell lengths 4.791, 4.791, 4.964 Å; angles 90.00, 90.00, 90.00 degrees
Fractional positions:
Zr 0.000 0.000 0.000
Zn 0.000 0.000 0.500
Ir 0.000 0.500 0.000
Ir 0.500 0.000 0.000
Rh 0.500 0.500 0.500

Values from the calculation:
As for the symmetry: P4/mmm, No. 123.

no.,density (g/cm³),formation energy (meV/atom),DFT total energy (eV/cell)
1,13.30,40,-24.68
2,11.56,-259,-53.31
3,9.39,1619,-26.80